Ni3PbO PBE+U optimized geometry; energy above the lowest structure with this stoichiometry = 0 meV per atom; space-group type = Pm-3m, No. 221; total magnetization = 2.58 Bohr magnetons per cell
1.0
-2.1552 -2.6417 -2.3180
-0.4428 -2.4934 3.2532
-3.4865 1.9496 1.0198
Pb Ni O
1 3 1
Direct
0.5000 0.5000 0.5000
0.0000 0.5000 0.0000
0.0000 0.0000 0.5000
0.5000 0.0000 0.0000
0.0000 0.0000 0.0000